--- a ---
B5C7 | PBE | optimized geometry

**SG**: No. 6

a = 4.4963 Å, b = 2.5555 Å, c = 6.8157 Å
α = 90.00°, β = 90.18°, γ = 90.00°
Closest atoms and distances in Å follow each position.
Fractional coordinates of all 12 atoms:
B: 0.0000 0.0000 0.0000  1 C 1.63, 3 B 1.66-1.81
B: 0.0668 0.0000 0.7608  3 B 1.66-1.79, 1 C 1.67
B: 0.2144 0.5000 0.1247  2 C 1.57-1.64
B: 0.4783 0.5000 0.7767  3 C 1.55-1.63
B: 0.8684 0.5000 0.6310  1 C 1.55
C: 0.2064 0.5000 0.3551  3 C 1.56-1.61, 1 B 1.57
C: 0.3716 0.0000 0.4305  4 C 1.55-1.61
C: 0.4031 0.0000 0.6575  3 B 1.55-1.67, 1 C 1.55
C: 0.5358 0.5000 0.0126  2 C 1.54, 2 B 1.63-1.64
C: 0.6721 0.0000 0.1009  3 C 1.54-1.56, 1 B 1.63
C: 0.6942 0.0000 0.3291  4 C 1.56-1.61
C: 0.8567 0.5000 0.4043  1 B 1.55, 3 C 1.56-1.61

---

--- b ---
B5C7 | PBE | optimized geometry

**SG**: No. 8

a = 7.4511 Å, b = 7.4511 Å, c = 4.4514 Å
α = 93.98°, β = 93.98°, γ = 20.38°
Closest atoms and distances in Å follow each position.
Fractional coordinates of all 12 atoms:
B: 0.0000 0.0000 0.0000  3 C 1.56-1.59
B: 0.2882 0.2882 0.6408  4 C 1.69-1.74
B: 0.5013 0.5013 0.5006  3 C 1.54-1.58
B: 0.6721 0.6721 0.9000  3 C 1.53-1.60
B: 0.8440 0.8440 0.1182  3 C 1.56-1.61
C: 0.0326 0.0326 0.3416  3 B 1.56-1.58, 1 C 1.58
C: 0.1404 0.1404 0.3916  4 C 1.55-1.59
C: 0.1748 0.1748 0.7283  2 B 1.53, 1 C 1.55
C: 0.3680 0.3680 0.9324  1 C 1.58, 3 B 1.61-1.69
C: 0.4678 0.4678 0.8209  3 B 1.54-1.59, 1 C 1.58
C: 0.6834 0.6834 0.2595  3 C 1.58-1.59, 1 B 1.60
C: 0.7856 0.7856 0.3987  3 B 1.56-1.70, 1 C 1.58

---

The structure with the greatest stability is b.

---

--- a ---
BaCaTe2 | PBE | optimized geometry

**SG**: No. 166

a = 9.7797 Å, b = 9.7797 Å, c = 9.7797 Å
α = 31.50°, β = 31.50°, γ = 31.50°
Closest atoms and distances in Å follow each position.
Fractional coordinates of all 4 atoms:
Ba: 0.0000 0.0000 0.0000  6 Te 3.55
Ca: 0.5000 0.5000 0.5000  2 Te 2.86
Te: 0.3973 0.3973 0.3973  1 Ca 2.86
Te: 0.6027 0.6027 0.6027  1 Ca 2.86

---

--- b ---
BaCaTe2 | PBE | optimized geometry

**SG**: No. 225

a = 5.8046 Å, b = 5.8046 Å, c = 5.8046 Å
α = 60.00°, β = 60.00°, γ = 60.00°
Closest atoms and distances in Å follow each position.
Fractional coordinates of all 4 atoms:
Ba: 0.0000 0.0000 0.0000  8 Te 3.55
Ca: 0.5000 0.5000 0.5000  8 Te 3.55
Te: 0.2500 0.2500 0.2500  4 Ca 3.55, 4 Ba 3.55
Te: 0.7500 0.7500 0.7500  4 Ca 3.55, 4 Ba 3.55

---

The structure with the greatest stability is b.

---

--- a ---
B2C | PBE | optimized geometry

**SG**: No. 25

a = 2.6851 Å, b = 8.7772 Å, c = 3.9060 Å
α = 90.00°, β = 90.00°, γ = 90.00°
Closest atoms and distances in Å follow each position.
Fractional coordinates of all 12 atoms:
B: 0.0000 0.0000 0.0000  2 C 1.57
B: 0.0000 0.1994 0.7200  1 C 1.50
B: 0.0000 0.5000 0.6632  2 C 1.60
B: 0.0000 0.8006 0.7200  1 C 1.50
B: 0.5000 0.1182 0.5019  1 C 1.54
B: 0.5000 0.3775 0.1444  3 C 1.57-1.58
B: 0.5000 0.6225 0.1444  3 C 1.57-1.58
B: 0.5000 0.8818 0.5019  1 C 1.54
C: 0.0000 0.3326 0.9604  3 B 1.50-1.57
C: 0.0000 0.6674 0.9604  3 B 1.50-1.57
C: 0.5000 0.0000 0.2092  4 B 1.54-1.57
C: 0.5000 0.5000 0.4395  4 B 1.58-1.60

---

--- b ---
B2C | PBE | optimized geometry

**SG**: No. 8

a = 4.4733 Å, b = 4.4733 Å, c = 7.3228 Å
α = 102.78°, β = 102.78°, γ = 35.73°
Closest atoms and distances in Å follow each position.
Fractional coordinates of all 12 atoms:
B: 0.0000 0.0000 0.0000  2 C 1.58-1.70
B: 0.0491 0.0491 0.4888  2 C 1.59
B: 0.2599 0.2599 0.4547  3 B 1.71-1.87, 1 C 1.85
B: 0.2910 0.2910 0.1961  1 C 1.65, 2 B 1.81
B: 0.5059 0.5059 0.1628  5 B 1.64-1.81
B: 0.7059 0.7059 0.3149  5 B 1.71-1.86
B: 0.7288 0.7288 0.9003  3 C 1.55-1.58
B: 0.9336 0.9336 0.2341  4 B 1.64-1.81
C: 0.1807 0.1807 0.9785  4 B 1.58-1.65
C: 0.3906 0.3906 0.6946  3 C 1.44-1.58
C: 0.4894 0.4894 0.5600  1 C 1.44, 2 B 1.59
C: 0.8635 0.8635 0.7902  2 B 1.55-1.70, 2 C 1.58

---

The structure with the greatest stability is a.

---

--- a ---
FeCuAs2 | PBE | optimized geometry

**SG**: No. 10

a = 4.0238 Å, b = 3.1153 Å, c = 5.0974 Å
α = 90.00°, β = 109.50°, γ = 90.00°
Closest atoms and distances in Å follow each position.
Fractional coordinates of all 4 atoms:
Fe: 0.0000 0.0000 0.0000  6 As 2.54-2.55
Cu: 0.5000 0.5000 0.5000  6 As 2.54-2.55
As: 0.0000 0.0000 0.5000  4 Cu 2.54, 2 Fe 2.55
As: 0.5000 0.5000 0.0000  4 Fe 2.54, 2 Cu 2.55

---

--- b ---
FeCuAs2 | PBE | optimized geometry

**SG**: No. 166

a = 7.4444 Å, b = 7.4444 Å, c = 7.4444 Å
α = 23.97°, β = 23.97°, γ = 23.97°
Closest atoms and distances in Å follow each position.
Fractional coordinates of all 4 atoms:
Fe: 0.0000 0.0000 0.0000  6 As 2.45
Cu: 0.5000 0.5000 0.5000  6 As 2.63
As: 0.2557 0.2557 0.2557  3 Fe 2.45, 3 Cu 2.63
As: 0.7443 0.7443 0.7443  3 Fe 2.45, 3 Cu 2.63

---

The structure with the greatest stability is b.

---

--- a ---
CaLa3Ru | PBE | optimized geometry

**SG**: No. 62

a = 6.3749 Å, b = 10.2495 Å, c = 10.0489 Å
α = 90.00°, β = 90.00°, γ = 90.00°
Closest atoms and distances in Å follow each position.
Fractional coordinates of all 20 atoms:
Ca: 0.2256 0.2500 0.1569  5 La 3.48-3.73, 2 Ru 3.48, 2 Ca 3.70
Ca: 0.2744 0.7500 0.6569  5 La 3.48-3.73, 2 Ru 3.48, 2 Ca 3.70
Ca: 0.7256 0.2500 0.3431  5 La 3.48-3.73, 2 Ru 3.48, 2 Ca 3.70
Ca: 0.7744 0.7500 0.8431  5 La 3.48-3.73, 2 Ru 3.48, 2 Ca 3.70
La: 0.1586 0.0504 0.8491  1 Ru 2.70
La: 0.1586 0.4496 0.8491  1 Ru 2.70
La: 0.1674 0.2500 0.5458  2 Ru 2.81
La: 0.3326 0.7500 0.0458  2 Ru 2.81
La: 0.3414 0.5504 0.3491  1 Ru 2.70
La: 0.3414 0.9496 0.3491  1 Ru 2.70
La: 0.6586 0.0504 0.6509  1 Ru 2.70
La: 0.6586 0.4496 0.6509  1 Ru 2.70
La: 0.6674 0.2500 0.9542  2 Ru 2.81
La: 0.8326 0.7500 0.4542  2 Ru 2.81
La: 0.8414 0.5504 0.1509  1 Ru 2.70
La: 0.8414 0.9496 0.1509  1 Ru 2.70
Ru: 0.0000 0.0000 0.5000  4 La 2.70-2.81
Ru: 0.0000 0.5000 0.5000  4 La 2.70-2.81
Ru: 0.5000 0.0000 0.0000  4 La 2.70-2.81
Ru: 0.5000 0.5000 0.0000  4 La 2.70-2.81

---

--- b ---
CaLa3Ru | PBE | optimized geometry

**SG**: No. 194

a = 4.7042 Å, b = 4.7042 Å, c = 18.5475 Å
α = 90.00°, β = 90.00°, γ = 120.00°
Closest atoms and distances in Å follow each position.
Fractional coordinates of all 10 atoms:
Ca: 0.3333 0.6667 0.2500  3 La 2.72
Ca: 0.6667 0.3333 0.7500  3 La 2.72
La: 0.0000 0.0000 0.2500  3 Ca 2.72
La: 0.0000 0.0000 0.7500  3 Ca 2.72
La: 0.3333 0.6667 0.0672  3 Ru 2.99
La: 0.3333 0.6667 0.4328  3 Ru 2.99
La: 0.6667 0.3333 0.5672  3 Ru 2.99
La: 0.6667 0.3333 0.9328  3 Ru 2.99
Ru: 0.0000 0.0000 0.0000  6 La 2.99
Ru: 0.0000 0.0000 0.5000  6 La 2.99

---

The structure with the greatest stability is a.

---

--- a ---
Sb2AsIr | PBE | optimized geometry

**SG**: No. 139

a = 5.0556 Å, b = 5.0556 Å, c = 5.0556 Å
α = 125.79°, β = 125.79°, γ = 80.24°
Closest atoms and distances in Å follow each position.
Fractional coordinates of all 4 atoms:
Sb: 0.2500 0.7500 0.5000  4 As 3.01, 4 Ir 3.01, 4 Sb 3.26
Sb: 0.7500 0.2500 0.5000  4 As 3.01, 4 Ir 3.01, 4 Sb 3.26
As: 0.0000 0.0000 0.0000  8 Sb 3.01, 4 Ir 3.26
Ir: 0.5000 0.5000 0.0000  8 Sb 3.01, 4 As 3.26

---

--- b ---
Sb2AsIr | PBE | optimized geometry

**SG**: No. 71

a = 6.7382 Å, b = 6.7382 Å, c = 6.7382 Å
α = 149.44°, β = 144.06°, γ = 47.88°
Closest atoms and distances in Å follow each position.
Fractional coordinates of all 4 atoms:
Sb: 0.1714 0.1714 0.0000  2 Ir 2.76, 2 As 2.96
Sb: 0.8286 0.8286 0.0000  2 Ir 2.76, 2 As 2.96
As: 0.5000 0.0000 0.5000  4 Ir 2.73, 4 Sb 2.96
Ir: 0.0000 0.5000 0.5000  4 As 2.73, 4 Sb 2.76

---

The structure with the greatest stability is b.